RbMgSCl2: optimized geometry, GGA-PBE.

Cell: 5.1452 5.1452 5.0049 Å, 90.00 90.00 90.00°
With the nearest neighbours (Å) after each atom.
Space group P4/mmm (No. 123)
Inequivalent atoms, fractional coordinates:
Rb 0.0000 0.0000 0.0000 (multiplicity 1)  8 Cl 3.59, 4 S 3.64
Mg 0.5000 0.5000 0.5000 (multiplicity 1)  2 S 2.50, 4 Cl 2.57
S 0.5000 0.5000 0.0000 (multiplicity 1)  2 Mg 2.50
Cl 0.0000 0.5000 0.5000 (multiplicity 2)  2 Mg 2.57

Formation energy (no corrections)   -1324 meV/atom
Spin magnetization   1.00 Bohr magnetons per cell
DOS at the Fermi energy   0.740 states/eV/atom
Excess energy over the best structure of this formula in the dataset   0.0 kJ/mol of atoms

=====

RbMnGe2Cl8: optimized geometry, GGA-PBE.

Cell: 5.9964 7.7861 8.8341 Å, 96.70 95.64 110.80°
With the nearest neighbours (Å) after each atom.
Space group P-1 (No. 2)
Inequivalent atoms, fractional coordinates:
Rb 0.0000 0.0000 0.0000 (multiplicity 1)  10 Cl 3.46-3.76
Mn 0.0000 0.0000 0.5000 (multiplicity 1)  4 Cl 2.25-2.32
Ge 0.2877 0.6638 0.6604 (multiplicity 2)  3 Cl 2.29-2.56
Cl 0.0275 0.7729 0.3296 (multiplicity 2)  1 Mn 2.25
Cl 0.2909 0.2695 0.3528 (multiplicity 2)  1 Ge 2.41
Cl 0.3236 0.0022 0.6676 (multiplicity 2)  1 Mn 2.32, 1 Ge 2.56
Cl 0.3361 0.7067 0.9242 (multiplicity 2)  1 Ge 2.29

Formation energy (no corrections)   -1063 meV/atom
Spin magnetization   3.97 Bohr magnetons per cell

=====

Be2InGaRh: optimized geometry, GGA-PBE.

Cell: 4.3143 4.3143 5.1000 Å, 90.00 90.00 90.00°
With the nearest neighbours (Å) after each atom.
Space group P4/mmm (No. 123)
Inequivalent atoms, fractional coordinates:
Be 0.0000 0.5000 0.0000 (multiplicity 2)  2 Rh 2.16
In 0.0000 0.0000 0.5000 (multiplicity 1)  2 Rh 2.55
Ga 0.5000 0.5000 0.5000 (multiplicity 1)  4 In 3.05, 8 Be 3.34
Rh 0.0000 0.0000 0.0000 (multiplicity 1)  4 Be 2.16

ΔE_f   0.2879 eV/atom
Spin magnetization   0.00 Bohr magnetons per cell
DOS at the Fermi energy   0.412 states/eV/atom

=====

La4Pr2Nd5: optimized geometry, GGA-PBE.

Cell: 3.6012 9.5586 23.5691 Å, 90.00 90.00 90.00°
With the nearest neighbours (Å) after each atom.
Space group Immm (No. 71)
Inequivalent atoms, fractional coordinates:
La 0.0000 0.0000 0.0935 (multiplicity 4)  1 Pr 3.18, 4 La 3.46
La 0.0000 0.2932 0.5000 (multiplicity 4)  4 Nd 3.33-3.59, 6 La 3.46-3.60
Pr 0.0000 0.0000 0.2285 (multiplicity 4)  1 La 3.18, 2 Nd 3.48
Nd 0.0000 0.1955 0.3530 (multiplicity 8)  1 Pr 3.48, 3 La 3.59-3.65, 3 Nd 3.60-3.74
Nd 0.0000 0.5000 0.0000 (multiplicity 2)  4 La 3.33, 2 Nd 3.60

ΔE_f   0.2066 eV/atom
Spin magnetization   0.00 Bohr magnetons per cell
DOS at the Fermi energy   1.444 states/eV/atom
Excess energy over the best structure of this formula in the dataset   13.7 kJ/mol of atoms

=====

MoWIN2: optimized geometry, GGA-PBE.

Cell: 3.9807 3.9807 5.7921 Å, 90.00 90.00 90.00°
With the nearest neighbours (Å) after each atom.
Space group P4/mmm (No. 123)
Inequivalent atoms, fractional coordinates:
Mo 0.0000 0.0000 0.0000 (multiplicity 1)  4 I 2.81
W 0.5000 0.5000 0.5000 (multiplicity 1)  4 N 1.99
I 0.5000 0.5000 0.0000 (multiplicity 1)  4 Mo 2.81, 2 W 2.90
N 0.0000 0.5000 0.5000 (multiplicity 2)  2 W 1.99

Formation energy (no corrections)   1154 meV/atom
Spin magnetization   3.86 Bohr magnetons per cell
DOS at the Fermi energy   0.768 states/eV/atom
Excess energy over the best structure of this formula in the dataset   0.0 kJ/mol of atoms

=====

Lu2CrPd: optimized geometry, GGA-PBE.

Cell: 3.4477 3.4477 6.8487 Å, 90.00 90.00 90.00°
With the nearest neighbours (Å) after each atom.
Space group P4/mmm (No. 123)
Inequivalent atoms, fractional coordinates:
Lu 0.0000 0.0000 0.2490 (multiplicity 2)  4 Pd 2.98, 4 Cr 2.98
Cr 0.5000 0.5000 0.5000 (multiplicity 1)  8 Lu 2.98
Pd 0.5000 0.5000 0.0000 (multiplicity 1)  8 Lu 2.98

ΔE_f   -0.3225 eV/atom
Spin magnetization   2.89 Bohr magnetons per cell
DOS at the Fermi energy   0.595 states/eV/atom
Excess energy over the best structure of this formula in the dataset   0.0 kJ/mol of atoms

=====

AlRh3F: optimized geometry, GGA-PBE.

Cell: 4.2253 4.2253 4.2253 Å, 90.00 90.00 90.00°
With the nearest neighbours (Å) after each atom.
Space group Pm-3m (No. 221)
Inequivalent atoms, fractional coordinates:
Al 0.0000 0.0000 0.0000 (multiplicity 1)  12 Rh 2.99
Rh 0.0000 0.5000 0.5000 (multiplicity 3)  2 F 2.11
F 0.5000 0.5000 0.5000 (multiplicity 1)  6 Rh 2.11

Formation energy (no corrections)   388 meV/atom
Spin magnetization   1.85 Bohr magnetons per cell
DOS at the Fermi energy   0.956 states/eV/atom
Excess energy over the best structure of this formula in the dataset   0.0 kJ/mol of atoms

=====

PmGeAs: optimized geometry, GGA-PBE.

Cell: 4.5177 4.5177 3.9523 Å, 90.00 90.00 120.00°
With the nearest neighbours (Å) after each atom.
Space group P-6m2 (No. 187)
Inequivalent atoms, fractional coordinates:
Pm 0.0000 0.0000 0.0000 (multiplicity 1)  6 As 3.27, 6 Ge 3.27
Ge 0.6667 0.3333 0.5000 (multiplicity 1)  3 As 2.61
As 0.3333 0.6667 0.5000 (multiplicity 1)  3 Ge 2.61

ΔE_f   -0.6636 eV/atom
Spin magnetization   0.00 Bohr magnetons per cell
DOS at the Fermi energy   0.377 states/eV/atom

=====

KLaGa2: optimized geometry, GGA-PBE.

Cell: 8.6327 8.6327 6.9373 Å, 90.00 90.00 90.00°
With the nearest neighbours (Å) after each atom.
Space group I-42d (No. 122)
Inequivalent atoms, fractional coordinates:
K 0.0000 0.0000 0.0000 (multiplicity 4)  4 Ga 3.30, 2 La 3.47
La 0.0000 0.0000 0.5000 (multiplicity 4)  4 Ga 3.05
Ga 0.2284 0.2500 0.6250 (multiplicity 8)  2 La 3.05, 2 K 3.30

ΔE_f   0.1807 eV/atom
Spin magnetization   0.00 Bohr magnetons per cell
DOS at the Fermi energy   0.962 states/eV/atom
Excess energy over the best structure of this formula in the dataset   20.5 kJ/mol of atoms

=====

MgFe6: optimized geometry, GGA-PBE.

Cell: 5.9753 5.9753 5.9753 Å, 90.00 90.00 90.00°
With the nearest neighbours (Å) after each atom.
Space group Im-3m (No. 229)
Inequivalent atoms, fractional coordinates:
Mg 0.0000 0.0000 0.0000 (multiplicity 2)  24 Fe 3.34
Fe 0.0000 0.2500 0.5000 (multiplicity 12)  4 Fe 2.11

ΔE_f   0.9133 eV/atom
Spin magnetization   0.01 Bohr magnetons per cell
DOS at the Fermi energy   1.688 states/eV/atom

=====

TlRe5: optimized geometry, GGA-PBE.

Cell: 4.5070 2.8431 15.0031 Å, 90.00 90.00 90.00°
With the nearest neighbours (Å) after each atom.
Space group Amm2 (No. 38)
Inequivalent atoms, fractional coordinates:
Tl 0.0000 0.0000 0.0000 (multiplicity 2)  10 Re 2.84-2.97, 2 Tl 2.84
Re 0.0000 0.0000 0.3259 (multiplicity 2)  10 Re 2.68-2.84, 2 Tl 2.97
Re 0.0000 0.0000 0.6742 (multiplicity 2)  10 Re 2.68-2.84, 2 Tl 2.97
Re 0.5000 0.0000 0.1148 (multiplicity 2)  8 Re 2.75-2.84, 2 Tl 2.84
Re 0.5000 0.0000 0.4284 (multiplicity 2)  6 Re 2.73-2.84, 4 Tl 2.87
Re 0.5000 0.0000 0.7721 (multiplicity 2)  12 Re 2.69-2.84

ΔE_f   0.4550 eV/atom
Spin magnetization   0.00 Bohr magnetons per cell
DOS at the Fermi energy   0.894 states/eV/atom
Excess energy over the best structure of this formula in the dataset   4.4 kJ/mol of atoms

=====

AsOsRu2: optimized geometry, GGA-PBE.

Cell: 2.8802 4.4715 4.5020 Å, 90.00 90.00 90.00°
With the nearest neighbours (Å) after each atom.
Space group Pmmm (No. 47)
Inequivalent atoms, fractional coordinates:
As 0.0000 0.0000 0.0000 (multiplicity 1)  4 Ru 2.66, 4 Os 2.67, 2 As 2.88
Os 0.5000 0.0000 0.5000 (multiplicity 1)  4 Ru 2.66, 4 As 2.67, 2 Os 2.88
Ru 0.0000 0.5000 0.5000 (multiplicity 1)  4 Os 2.66, 6 Ru 2.67-2.88
Ru 0.5000 0.5000 0.0000 (multiplicity 1)  4 As 2.66, 6 Ru 2.67-2.88

ΔE_f   0.4050 eV/atom
Spin magnetization   0.00 Bohr magnetons per cell
DOS at the Fermi energy   1.155 states/eV/atom

=====

Table of E_tot (eV per cell), in record order: -17.01, -46.91, -19.13, -101.67, -36.22, -25.15, -25.73, -16.01, -45.42, -91.95, -123.75, -32.81